PBE La2Y4Ho5, relaxed; distance to the lowest polymorph of the same formula = 0.000 eV/atom; formation energy from the elements = 0.150 eV/atom; SG = C2/m (12); crystal system = monoclinic
1.0
11.9955 -1.7244 0.0000
11.9955 1.7244 0.0000
-1.0024 0.0000 8.7541
La Y Ho
2 4 5
Direct
0.0925 0.0925 0.2514 La
0.9075 0.9075 0.7486 La
0.0462 0.0462 0.8613 Y
0.3208 0.3208 0.0255 Y
0.6792 0.6792 0.9745 Y
0.9538 0.9538 0.1387 Y
0.1416 0.1416 0.6254 Ho
0.2343 0.2343 0.3275 Ho
0.5000 0.5000 0.5000 Ho
0.7657 0.7657 0.6725 Ho
0.8584 0.8584 0.3746 Ho